Here is a relaxed structure of PaSiNiO6 from Alexandria via LeMat-Bulk. Energies are from PBE with a Hubbard U.

Lattice parameters (Å, degrees): 4.9206 4.9206 4.7341 90.00 90.00 120.00
With the nearest neighbours (Å) after each atom.
Space group P312 (No. 149)
One atom of each set of equivalent atoms:
1 Pa 0.0000 0.0000 0.0000  6 O 2.21
2 Si 0.6667 0.3333 0.5000  6 O 1.81
3 Ni 0.3333 0.6667 0.5000  6 O 1.98
4 O 0.3699 0.0268 0.7173  1 Si 1.81, 1 Ni 1.98

Calculated values
**Energy**: -7.641 eV per atom
**Volume**: 99.27 Å³/cell
**Spin magnetization**: 2.98 μB/f.u.